[1]
The following is a DFT calculation (PBE) of a relaxed structure of Tl2HgN2.

**Formation energy (no corrections)**: 882 meV per atom
**Raw total energy**: -34.5 eV per cell

a b c (Å): 6.6344 3.8296 8.9915
angles (deg): 90.00 90.20 90.00
Last column: nearest neighbours and their distance in Å.
Space group C2/m (No. 12)
One atom of each set of equivalent atoms:
Tl 0.1659 0.0000 0.3477 [4 per cell]  3 N 2.22
Hg 0.0000 0.5000 0.0000 [2 per cell]  6 Tl 3.82-3.84, 6 Hg 3.83, 6 N 3.97-3.99
N 0.1673 0.0000 0.6319 [4 per cell]  3 Tl 2.22


[2]
The following is a DFT calculation (PBE) of a relaxed structure of ErAl4Sb.

**Formation energy (no corrections)**: -176 meV per atom
**Raw total energy**: -98.8 eV per cell

a b c (Å): 7.8242 7.8242 7.8242
angles (deg): 90.00 90.00 90.00
Last column: nearest neighbours and their distance in Å.
Space group F-43m (No. 216)
One atom of each set of equivalent atoms:
Er 0.0000 0.0000 0.0000 [4 per cell]  12 Al 3.24, 4 Sb 3.39
Al 0.1249 0.1249 0.6249 [16 per cell]  6 Al 2.76-2.77
Sb 0.2500 0.2500 0.2500 [4 per cell]  12 Al 3.24, 4 Er 3.39